Crystalline RbScPb at its relaxed geometry, computed with PBE.

Unit cell a=5.418 b=5.418 c=7.937 alpha=90.11 beta=90.11 gamma=90.00
Atoms (fractional coordinates):
Rb 0.249 0.751 0.000
Rb 0.751 0.249 0.000
Sc 0.250 0.750 0.500
Sc 0.750 0.250 0.500
Pb 0.250 0.250 0.658
Pb 0.750 0.750 0.342

Summary:
As for the mass density: 4.81 g/cm³. As for the excess energy over the best structure of this formula in the dataset: 0.117 eV per atom. The calculation puts the formation energy at -11.54 kJ/mol of atoms. The crystal system is monoclinic.

=====

Crystalline Tl2CdGeTe4 at its relaxed geometry, computed with PBE.

Unit cell a=8.765 b=10.216 c=7.112 alpha=90.00 beta=90.00 gamma=90.00
Atoms (fractional coordinates):
Tl 0.217 0.160 0.000
Tl 0.283 0.840 0.500
Tl 0.717 0.840 0.500
Tl 0.783 0.160 0.000
Cd 0.000 0.378 0.450
Cd 0.500 0.622 0.950
Ge 0.000 0.657 0.933
Ge 0.500 0.343 0.433
Te 0.000 0.415 0.047
Te 0.000 0.647 0.564
Te 0.243 0.792 0.034
Te 0.257 0.208 0.534
Te 0.500 0.353 0.064
Te 0.500 0.585 0.547
Te 0.743 0.208 0.534
Te 0.757 0.792 0.034

Summary:
As for the mass density: 5.76 g/cm³. As for the excess energy over the best structure of this formula in the dataset: 0.057 eV per atom. The crystal system is orthorhombic. The uncorrected formation energy comes out at -0.2108 eV per atom.

=====

Crystalline BaZn2SnOs at its relaxed geometry, computed with PBE.

Unit cell a=5.023 b=5.023 c=5.067 alpha=90.00 beta=90.00 gamma=90.00
Atoms (fractional coordinates):
Ba 0.000 0.000 0.000
Zn 0.000 0.500 0.500
Zn 0.500 0.000 0.500
Sn 0.500 0.500 0.000
Os 0.500 0.500 0.500

Summary:
As for the mass density: 7.50 g/cm³. The calculation puts the formation energy at -13.76 kJ/mol of atoms. The crystal system is tetragonal.

=====

Crystalline Mg2TlFe at its relaxed geometry, computed with PBE.

Unit cell a=5.743 b=5.743 c=5.743 alpha=147.03 beta=130.63 gamma=60.65
Atoms (fractional coordinates):
Mg 0.223 0.223 0.000
Mg 0.777 0.777 0.000
Tl 0.500 0.000 0.500
Fe 0.000 0.500 0.500

Summary:
As for the mass density: 6.62 g/cm³. As for the excess energy over the best structure of this formula in the dataset: 0.092 eV per atom. The calculation puts the formation energy at 26.65 kJ/mol of atoms. The crystal system is orthorhombic.

=====

Crystalline SrLiAg3 at its relaxed geometry, computed with PBE.

Unit cell a=4.296 b=4.296 c=12.811 alpha=90.00 beta=90.00 gamma=90.00
Atoms (fractional coordinates):
Sr 0.000 0.000 0.250
Sr 0.000 0.000 0.750
Li 0.000 0.500 0.000
Li 0.500 0.000 0.500
Ag 0.000 0.500 0.500
Ag 0.500 0.000 0.000
Ag 0.500 0.500 0.140
Ag 0.500 0.500 0.360
Ag 0.500 0.500 0.640
Ag 0.500 0.500 0.860

Summary:
As for the mass density: 5.87 g/cm³. As for the excess energy over the best structure of this formula in the dataset: 0.000 eV per atom. The calculation puts the formation energy at -19.99 kJ/mol of atoms. The crystal system is tetragonal.

=====

Crystalline ZrWC2I at its relaxed geometry, computed with PBE.

Unit cell a=4.318 b=4.318 c=5.778 alpha=90.00 beta=90.00 gamma=90.00
Atoms (fractional coordinates):
Zr 0.000 0.000 0.000
W 0.500 0.500 0.500
C 0.000 0.500 0.000
C 0.500 0.000 0.000
I 0.000 0.000 0.500

Summary:
As for the mass density: 6.57 g/cm³. The crystal system is tetragonal. The uncorrected formation energy comes out at 2.3412 eV per atom.

=====

Crystalline OsRuCl at its relaxed geometry, computed with PBE.

Unit cell a=6.040 b=6.040 c=6.040 alpha=152.55 beta=152.55 gamma=39.21
Atoms (fractional coordinates):
Os 0.000 0.000 0.000
Ru 0.639 0.639 0.000
Cl 0.318 0.318 0.000

Summary:
As for the mass density: 11.61 g/cm³. As for the excess energy over the best structure of this formula in the dataset: 0.156 eV per atom. The crystal system is tetragonal. The uncorrected formation energy comes out at 0.6518 eV per atom.

=====

Crystalline ReTcO6 at its relaxed geometry, computed with PBE.

Unit cell a=5.358 b=5.358 c=5.358 alpha=60.01 beta=60.01 gamma=60.01
Atoms (fractional coordinates):
Re 0.000 0.000 0.000
Tc 0.500 0.500 0.500
O 0.248 0.251 0.751
O 0.249 0.752 0.749
O 0.251 0.751 0.248
O 0.749 0.249 0.752
O 0.751 0.248 0.251
O 0.752 0.749 0.249

Summary:
As for the mass density: 5.80 g/cm³. The crystal system is trigonal. The uncorrected formation energy comes out at -1.4649 eV per atom.

=====

Crystalline ZrB3H12 at its relaxed geometry, computed with PBE.

Unit cell a=7.427 b=7.427 c=7.427 alpha=59.88 beta=59.88 gamma=59.88
Atoms (fractional coordinates):
Zr 0.000 0.000 0.000
Zr 0.500 0.500 0.500
B 0.248 0.750 0.252
B 0.250 0.748 0.752
B 0.252 0.248 0.750
B 0.748 0.752 0.250
B 0.750 0.252 0.248
B 0.752 0.250 0.748
H 0.084 0.913 0.285
H 0.087 0.715 0.916
H 0.090 0.281 0.716
H 0.215 0.587 0.416
H 0.216 0.781 0.590
H 0.219 0.410 0.784
H 0.281 0.716 0.090
H 0.284 0.910 0.719
H 0.285 0.084 0.913
H 0.410 0.784 0.219
H 0.413 0.584 0.785
H 0.416 0.215 0.587
H 0.584 0.785 0.413
H 0.587 0.416 0.215
H 0.590 0.216 0.781
H 0.715 0.916 0.087
H 0.716 0.090 0.281
H 0.719 0.284 0.910
H 0.781 0.590 0.216
H 0.784 0.219 0.410
H 0.785 0.413 0.584
H 0.910 0.719 0.284
H 0.913 0.285 0.084
H 0.916 0.087 0.715

Summary:
As for the mass density: 1.56 g/cm³. For the energy, the calculation gives -4.464 eV per atom. The crystal system is trigonal.

=====

Crystalline CeErInPt at its relaxed geometry, computed with PBE.

Unit cell a=5.179 b=5.179 c=5.179 alpha=60.00 beta=60.00 gamma=60.00
Atoms (fractional coordinates):
Ce 0.000 0.000 0.000
Er 0.500 0.500 0.500
In 0.750 0.750 0.750
Pt 0.250 0.250 0.250

Summary:
As for the mass density: 10.43 g/cm³. The calculation puts the formation energy at -61.15 kJ/mol of atoms. The crystal system is cubic.

=====

Crystalline Mo3AsI at its relaxed geometry, computed with PBE.

Unit cell a=4.889 b=4.889 c=4.889 alpha=90.00 beta=90.00 gamma=90.00
Atoms (fractional coordinates):
Mo 0.000 0.000 0.500
Mo 0.000 0.500 0.000
Mo 0.500 0.000 0.000
As 0.500 0.500 0.500
I 0.000 0.000 0.000

Summary:
As for the mass density: 6.96 g/cm³. As for the excess energy over the best structure of this formula in the dataset: 0.799 eV per atom. The crystal system is cubic. The uncorrected formation energy comes out at 2.1733 eV per atom.

=====

Crystalline K2HgI2 at its relaxed geometry, computed with PBE.

Unit cell a=9.731 b=9.731 c=4.471 alpha=90.00 beta=90.00 gamma=90.00
Atoms (fractional coordinates):
K 0.145 0.355 0.000
K 0.355 0.855 0.000
K 0.645 0.145 0.000
K 0.855 0.645 0.000
Hg 0.000 0.000 0.000
Hg 0.500 0.500 0.000
I 0.156 0.656 0.500
I 0.344 0.156 0.500
I 0.656 0.844 0.500
I 0.844 0.344 0.500

Summary:
As for the mass density: 4.18 g/cm³. As for the excess energy over the best structure of this formula in the dataset: 0.000 eV per atom. The crystal system is tetragonal. The uncorrected formation energy comes out at -1.1124 eV per atom.

=====

Crystalline Co4HgPb at its relaxed geometry, computed with PBE.

Unit cell a=5.041 b=5.041 c=5.041 alpha=60.00 beta=60.00 gamma=60.00
Atoms (fractional coordinates):
Co 0.125 0.125 0.125
Co 0.125 0.125 0.626
Co 0.125 0.626 0.125
Co 0.626 0.125 0.125
Hg 0.750 0.750 0.750
Pb 0.500 0.500 0.500

Summary:
As for the mass density: 11.80 g/cm³. The calculation puts the formation energy at 42.31 kJ/mol of atoms. The crystal system is cubic.

=====

Crystalline Ca2Si2Ge at its relaxed geometry, computed with PBE.

Unit cell a=5.937 b=5.937 c=10.148 alpha=113.55 beta=113.55 gamma=45.55
Atoms (fractional coordinates):
Ca 0.105 0.105 0.411
Ca 0.282 0.282 0.844
Ca 0.718 0.718 0.156
Ca 0.895 0.895 0.589
Si 0.046 0.046 0.916
Si 0.389 0.389 0.391
Si 0.611 0.611 0.609
Si 0.954 0.954 0.084
Ge 0.452 0.452 0.186
Ge 0.548 0.548 0.814

Summary:
As for the mass density: 3.02 g/cm³. As for the excess energy over the best structure of this formula in the dataset: 0.000 eV per atom. The crystal system is monoclinic. The uncorrected formation energy comes out at -0.4114 eV per atom.

=====

Crystalline Sc2AgSn2 at its relaxed geometry, computed with PBE.

Unit cell a=7.040 b=7.040 c=7.040 alpha=141.32 beta=141.32 gamma=55.85
Atoms (fractional coordinates):
Sc 0.250 0.750 0.500
Sc 0.750 0.250 0.500
Ag 0.000 0.000 0.000
Sn 0.391 0.391 0.000
Sn 0.609 0.609 0.000

Summary:
As for the mass density: 5.35 g/cm³. As for the excess energy over the best structure of this formula in the dataset: 0.528 eV per atom. The calculation puts the formation energy at 8.27 kJ/mol of atoms. The crystal system is tetragonal.

=====

Crystalline V2ReAs2 at its relaxed geometry, computed with PBE.

Unit cell a=6.729 b=6.729 c=3.209 alpha=90.00 beta=90.00 gamma=90.00
Atoms (fractional coordinates):
V 0.143 0.357 0.000
V 0.357 0.857 0.000
V 0.643 0.143 0.000
V 0.857 0.643 0.000
Re 0.000 0.000 0.500
Re 0.500 0.500 0.500
As 0.153 0.653 0.500
As 0.347 0.153 0.500
As 0.653 0.847 0.500
As 0.847 0.347 0.500

Summary:
As for the mass density: 10.01 g/cm³. The calculation puts the formation energy at -4.50 kJ/mol of atoms. The crystal system is tetragonal.

=====

Crystalline In2ReBr at its relaxed geometry, computed with PBE.

Unit cell a=3.181 b=4.372 c=7.936 alpha=90.00 beta=90.00 gamma=90.00
Atoms (fractional coordinates):
In 0.000 0.000 0.000
In 0.500 0.500 0.373
Re 0.000 0.000 0.329
Br 0.500 0.500 0.814

Summary:
As for the mass density: 7.46 g/cm³. As for the excess energy over the best structure of this formula in the dataset: 0.312 eV per atom. The crystal system is orthorhombic. The uncorrected formation energy comes out at 0.6321 eV per atom.

=====

Crystalline RbCr2Os at its relaxed geometry, computed with PBE.

Unit cell a=8.587 b=8.587 c=8.587 alpha=140.21 beta=140.21 gamma=57.54
Atoms (fractional coordinates):
Rb 0.375 0.625 0.750
Rb 0.625 0.375 0.250
Cr 0.000 0.000 0.000
Cr 0.000 0.000 0.500
Cr 0.000 0.500 0.000
Cr 0.500 0.000 0.500
Os 0.125 0.875 0.250
Os 0.875 0.125 0.750

Summary:
As for the mass density: 4.90 g/cm³. As for the excess energy over the best structure of this formula in the dataset: 0.000 eV per atom. The calculation puts the formation energy at 134.03 kJ/mol of atoms. The crystal system is tetragonal.

=====

Crystalline Ba5TeS4 at its relaxed geometry, computed with PBE.

Unit cell a=8.061 b=8.061 c=11.440 alpha=118.11 beta=118.11 gamma=33.48
Atoms (fractional coordinates):
Ba 0.000 0.000 0.000
Ba 0.205 0.205 0.812
Ba 0.392 0.392 0.611
Ba 0.608 0.608 0.389
Ba 0.795 0.795 0.188
Te 0.000 0.000 0.500
S 0.201 0.201 0.294
S 0.402 0.402 0.099
S 0.598 0.598 0.901
S 0.799 0.799 0.706

Summary:
As for the mass density: 4.38 g/cm³. The crystal system is monoclinic. The uncorrected formation energy comes out at -1.9964 eV per atom.

=====

Crystalline Ac2BeVS6 at its relaxed geometry, computed with PBE.

Unit cell a=6.534 b=6.773 c=11.375 alpha=90.00 beta=124.97 gamma=90.00
Atoms (fractional coordinates):
Ac 0.234 0.072 0.252
Ac 0.234 0.428 0.752
Ac 0.766 0.572 0.248
Ac 0.766 0.928 0.748
Be 0.500 0.000 0.000
Be 0.500 0.500 0.500
V 0.000 0.000 0.500
V 0.000 0.500 0.000
S 0.173 0.200 0.966
S 0.173 0.300 0.466
S 0.260 0.706 0.964
S 0.260 0.794 0.464
S 0.319 0.506 0.253
S 0.319 0.994 0.753
S 0.681 0.006 0.247
S 0.681 0.494 0.747
S 0.740 0.206 0.536
S 0.740 0.294 0.036
S 0.827 0.700 0.534
S 0.827 0.800 0.034

Summary:
As for the mass density: 5.69 g/cm³. The crystal system is monoclinic. The uncorrected formation energy comes out at -1.3974 eV per atom.

=====

Crystalline EuGdMgAu at its relaxed geometry, computed with PBE.

Unit cell a=5.337 b=5.337 c=5.337 alpha=60.00 beta=60.00 gamma=60.00
Atoms (fractional coordinates):
Eu 0.000 0.000 0.000
Gd 0.500 0.500 0.500
Mg 0.250 0.250 0.250
Au 0.750 0.750 0.750

Summary:
As for the mass density: 8.20 g/cm³. The calculation puts the formation energy at -36.20 kJ/mol of atoms. The crystal system is cubic.

=====

Crystalline PrAs3Pd3 at its relaxed geometry, computed with PBE.

Unit cell a=6.838 b=6.838 c=6.838 alpha=90.00 beta=90.00 gamma=90.00
Atoms (fractional coordinates):
Pr 0.000 0.000 0.000
Pr 0.500 0.500 0.500
As 0.000 0.250 0.500
As 0.000 0.750 0.500
As 0.250 0.500 0.000
As 0.500 0.000 0.250
As 0.500 0.000 0.750
As 0.750 0.500 0.000
Pd 0.000 0.500 0.250
Pd 0.000 0.500 0.750
Pd 0.250 0.000 0.500
Pd 0.500 0.250 0.000
Pd 0.500 0.750 0.000
Pd 0.750 0.000 0.500

Summary:
As for the mass density: 7.11 g/cm³. The calculation puts the formation energy at -37.14 kJ/mol of atoms. The crystal system is cubic.

=====

Crystalline Tl2BRu at its relaxed geometry, computed with PBE.

Unit cell a=4.718 b=4.718 c=4.718 alpha=60.00 beta=60.00 gamma=60.00
Atoms (fractional coordinates):
Tl 0.250 0.250 0.250
Tl 0.750 0.750 0.750
B 0.000 0.000 0.000
Ru 0.500 0.500 0.500

Summary:
As for the mass density: 11.64 g/cm³. As for the excess energy over the best structure of this formula in the dataset: 0.626 eV per atom. The calculation puts the formation energy at 130.14 kJ/mol of atoms. The crystal system is cubic.